Density functional theory data (GGA-PBE) for a geometry-optimized SbAsPd4 structure.

abc: 7.088 3.325 17.204
angles: 90.00 90.00 90.00
Element x y z (fractional)
Sb 0.199 0.250 0.186
Sb 0.301 0.750 0.686
Sb 0.699 0.250 0.314
Sb 0.801 0.750 0.814
As 0.241 0.750 0.447
As 0.259 0.250 0.947
As 0.741 0.750 0.053
As 0.759 0.250 0.553
Pd 0.003 0.750 0.288
Pd 0.042 0.750 0.569
Pd 0.097 0.750 0.059
Pd 0.176 0.750 0.839
Pd 0.324 0.250 0.339
Pd 0.403 0.250 0.559
Pd 0.458 0.250 0.069
Pd 0.497 0.250 0.788
Pd 0.503 0.750 0.212
Pd 0.542 0.750 0.931
Pd 0.597 0.750 0.441
Pd 0.676 0.750 0.661
Pd 0.824 0.250 0.161
Pd 0.903 0.250 0.941
Pd 0.958 0.250 0.431
Pd 0.997 0.250 0.712

Calculated values
SG: Pnma (62)
Spin magnetization in μB/f.u.: 0.00
Raw formation energy in meV/atom: -388